The following is a PBE calculation of a geometry-optimized Mn2SbBr structure, from the Alexandria database.

Results
E_form (uncorrected) in eV per atom: 0.1677
ΔE to the lowest computed polymorph in meV/atom: 160
V in A^3/atom: 24.96
Spin magnetization in Bohr magnetons per cell: 6.83
Calculated density in g cm⁻³: 5.18
SG: Cm, No. 8
Total energy in eV per cell: -23.5

```
4
Lattice="-3.073 2.178 -2.401 -0.869 0.651 -4.332 -4.552 -5.693 -0.695" Properties=species:S:1:pos:R:3 pbc="T T T"
Sb -4.763 -2.278 -3.634
Mn -6.499 -2.369 -5.543
Mn -4.408 -5.408 -0.755
Br -1.623 0.067 -1.904
```